No. 1
A relaxed structure of Sm3YAl, computed with GGA-PBE.

Cell: 3.6445 6.8706 12.5288 Å, 84.15 90.01 74.61°
Element x y z (fractional)
Al 0.5502 0.8994 0.6190
Al 0.4498 0.1006 0.3810
Sm 0.9654 0.0699 0.8043
Sm 0.1425 0.7148 0.4476
Y 0.7817 0.4366 0.2541
Sm 0.8575 0.2852 0.5524
Sm 0.6364 0.7262 0.9820
Sm 0.0346 0.9301 0.1957
Sm 0.3636 0.2738 0.0180
Y 0.2183 0.5634 0.7459

Output
- Calculated density: 6.26 g cm⁻³
- Energy of formation: -63 kJ/mol of formula units
- E above lowest polymorph: 0.0 meV/atom

No. 2
A relaxed structure of Ba2AgMo, computed with GGA-PBE.

Cell: 3.8361 3.8361 9.4027 Å, 90.00 90.00 90.00°
Last column: magnetic moment on the atom in μB.
Element x y z (fractional)
Ag 0.5000 0.5000 0.6796  0.07
Ba 0.0000 0.0000 0.9167  0.06
Mo 0.0000 0.0000 0.5732  2.07
Ba 0.5000 0.5000 0.3306  0.01

Output
- Calculated density: 5.74 g cm⁻³
- Energy of formation: 272 kJ/mol of formula units
- E above lowest polymorph: 106.5 meV/atom

No. 3
A relaxed structure of SrAsP, computed with GGA-PBE.

Cell: 4.9442 4.1107 8.2286 Å, 104.48 90.01 90.00°
Element x y z (fractional)
As 0.4209 0.1280 0.1214
P 0.4211 0.2693 0.4037
As 0.9209 0.0859 0.0370
Sr 0.9211 0.7526 0.3707
P 0.9206 0.9446 0.7547
Sr 0.4206 0.4613 0.7877

Output
- Calculated density: 3.97 g cm⁻³
- Energy of formation: -192 kJ/mol of formula units
- E above lowest polymorph: 0.0 meV/atom